Entry 1:
InRuAu: optimized geometry, PBEsol.

Lattice parameters (Å, degrees): 4.496 4.496 2.895 90.00 90.00 120.00
Sites, in units of the cell vectors:
In (0.000, 0.000, 0.000)
Ru (0.333, 0.667, 0.368)
Au (0.667, 0.333, 0.793)

**N(E_F)**: 2.6 states/eV/cell
**E_form**: 307 meV per atom
**E**: -5.39 eV per atom


Entry 2:
ScIn2RuAu: optimized geometry, PBEsol.

Lattice parameters (Å, degrees): 5.410 5.410 4.359 90.00 90.00 90.00
Sites, in units of the cell vectors:
Sc (0.000, 0.000, 0.000)
In (0.000, 0.500, 0.000)
In (0.500, 0.000, 0.000)
Ru (0.000, 0.000, 0.500)
Au (0.500, 0.500, 0.500)

**N(E_F)**: 4.4 states/eV/cell
**E_form**: 1038 meV per atom
**E**: -4.30 eV per atom


Entry 3:
InSbAu2: optimized geometry, PBEsol.

Lattice parameters (Å, degrees): 3.936 3.997 5.669 90.00 90.00 90.00
Sites, in units of the cell vectors:
In (0.000, 0.000, 0.000)
Sb (0.500, 0.500, 0.500)
Au (0.000, 0.000, 0.500)
Au (0.500, 0.500, 0.000)

**N(E_F)**: 1.6 states/eV/cell
**E above lowest polymorph**: 0.13 eV/f.u.
**E**: -3.95 eV per atom
**E_form (uncorrected)**: -104 meV per atom